[1]
Crystalline La2PrHfAs4 at its relaxed geometry, computed with PBE.

The calculation puts the formation energy at -1.38 eV per atom. The volume comes out at 210.73 Å³ per cell. The size of the total moment comes out at 0.0 Bohr magnetons per cell. Its symmetry is No. 10.

Unit cell a=4.1961 b=7.2816 c=7.3009 alpha=109.15 beta=90.00 gamma=90.00
Positions (direct):
La: 0.5000 0.0000 0.5000
La: 0.0000 0.5000 0.5000
Pr: 0.5000 0.5000 0.0000
Hf: 0.0000 0.0000 0.0000
As: 0.5000 0.2269 0.2256
As: 0.5000 0.7731 0.7744
As: 0.0000 0.2382 0.7645
As: 0.0000 0.7618 0.2355

[2]
Crystalline La2HfAsPt at its relaxed geometry, computed with PBE.

The calculation puts the formation energy at 0.22 eV per atom. The volume comes out at 157.97 Å³ per cell. The size of the total moment comes out at 0.0 Bohr magnetons per cell. Its symmetry is No. 123.

Unit cell a=5.7486 b=4.7804 c=5.7486 alpha=90.00 beta=90.00 gamma=90.00
Positions (direct):
As: 0.5000 0.5000 0.5000
Hf: 0.0000 0.0000 0.0000
Pt: 0.0000 0.5000 0.0000
La: 0.0000 0.0000 0.5000
La: 0.5000 0.0000 0.0000

[3]
Crystalline La2PuHfAs4 at its relaxed geometry, computed with PBE.

The calculation puts the formation energy at -1.28 eV per atom. The volume comes out at 204.38 Å³ per cell. The size of the total moment comes out at 5.2 Bohr magnetons per cell. Its symmetry is No. 10.

Unit cell a=4.1552 b=7.1878 c=7.2445 alpha=109.16 beta=90.00 gamma=90.00
Each line ends with the local moment (μB).
Positions (direct):
La: 0.5000 0.0000 0.5000  0.01
La: 0.0000 0.5000 0.5000  0.03
Pu: 0.5000 0.5000 0.0000  5.07
Hf: 0.0000 0.0000 0.0000  0.03
As: 0.5000 0.2312 0.2223  -0.03
As: 0.5000 0.7688 0.7777  -0.03
As: 0.0000 0.2471 0.7732  -0.06
As: 0.0000 0.7529 0.2268  -0.06

[4]
Crystalline La2HfAs3Rh4 at its relaxed geometry, computed with PBE.

The calculation puts the formation energy at -0.99 eV per atom. The volume comes out at 193.79 Å³ per cell. The size of the total moment comes out at 0.0 Bohr magnetons per cell. Its symmetry is No. 115.

Unit cell a=4.1771 b=4.1771 c=11.1067 alpha=90.00 beta=90.00 gamma=90.00
Positions (direct):
La: 0.5000 0.0000 0.2304
La: 0.0000 0.5000 0.7696
Hf: 0.5000 0.5000 0.5000
As: 0.0000 0.0000 0.5000
As: 0.5000 0.0000 0.8675
As: 0.0000 0.5000 0.1325
Rh: 0.5000 0.5000 0.0000
Rh: 0.0000 0.0000 0.0000
Rh: 0.5000 0.0000 0.6425
Rh: 0.0000 0.5000 0.3575

[5]
Crystalline La2HfAs4Rh3 at its relaxed geometry, computed with PBE.

The calculation puts the formation energy at -1.00 eV per atom. The volume comes out at 199.24 Å³ per cell. The size of the total moment comes out at 0.0 Bohr magnetons per cell. Its symmetry is No. 115.

Unit cell a=4.3399 b=4.3399 c=10.5783 alpha=90.00 beta=90.00 gamma=90.00
Positions (direct):
La: 0.5000 0.0000 0.2288
La: 0.0000 0.5000 0.7712
Hf: 0.5000 0.5000 0.5000
As: 0.5000 0.5000 0.0000
As: 0.0000 0.0000 0.0000
As: 0.5000 0.0000 0.6484
As: 0.0000 0.5000 0.3516
Rh: 0.0000 0.0000 0.5000
Rh: 0.5000 0.0000 0.8863
Rh: 0.0000 0.5000 0.1137

[6]
Crystalline La2HfScAs4 at its relaxed geometry, computed with PBE.

The calculation puts the formation energy at -1.37 eV per atom. The volume comes out at 195.17 Å³ per cell. The size of the total moment comes out at 0.0 Bohr magnetons per cell. Its symmetry is No. 10.

Unit cell a=4.0901 b=7.0843 c=7.1354 alpha=109.27 beta=90.00 gamma=90.00
Positions (direct):
La: 0.5000 0.0000 0.5000
La: 0.0000 0.5000 0.5000
Hf: 0.0000 0.0000 0.0000
Sc: 0.5000 0.5000 0.0000
As: 0.5000 0.2374 0.2185
As: 0.5000 0.7626 0.7815
As: 0.0000 0.2575 0.7808
As: 0.0000 0.7425 0.2192

[7]
Crystalline LaHfAs2Se at its relaxed geometry, computed with PBE.

The uncorrected formation energy is -0.8583 eV/atom. The volume comes out at 134.97 Å³ per cell. The size of the total moment comes out at 0.0 Bohr magnetons per cell. For the distance to the lowest polymorph of the same formula, the calculation gives 0.0 meV/atom. Its symmetry is No. 123.

Unit cell a=5.1095 b=5.1095 c=5.1700 alpha=90.00 beta=90.00 gamma=90.00
Positions (direct):
As: 0.0000 0.5000 0.0000
As: 0.5000 0.0000 0.0000
Hf: 0.0000 0.0000 0.0000
Se: 0.0000 0.0000 0.5000
La: 0.5000 0.5000 0.5000

[8]
Crystalline LaHfAs2Se at its relaxed geometry, computed with PBE.

The uncorrected formation energy is 0.6406 eV/atom. The volume comes out at 165.10 Å³ per cell. The size of the total moment comes out at 0.0 Bohr magnetons per cell. For the distance to the lowest polymorph of the same formula, the calculation gives 1499.0 meV/atom. Its symmetry is No. 123.

Unit cell a=5.4852 b=5.4852 c=5.4872 alpha=90.00 beta=90.00 gamma=90.00
Positions (direct):
As: 0.0000 0.5000 0.0000
As: 0.5000 0.0000 0.0000
Hf: 0.5000 0.5000 0.5000
Se: 0.0000 0.0000 0.5000
La: 0.0000 0.0000 0.0000

[9]
Crystalline LaHfSiAs2 at its relaxed geometry, computed with PBE.

The uncorrected formation energy is -0.3903 eV/atom. The volume comes out at 130.75 Å³ per cell. The size of the total moment comes out at 0.0 Bohr magnetons per cell. Its symmetry is No. 123.

Unit cell a=5.1208 b=4.9862 c=5.1208 alpha=90.00 beta=90.00 gamma=90.00
Positions (direct):
As: 0.0000 0.0000 0.5000
As: 0.5000 0.0000 0.0000
Hf: 0.0000 0.0000 0.0000
Si: 0.0000 0.5000 0.0000
La: 0.5000 0.5000 0.5000

[10]
Crystalline La2SmHfAs4 at its relaxed geometry, computed with PBE.

The calculation puts the formation energy at -1.40 eV per atom. The volume comes out at 206.99 Å³ per cell. The size of the total moment comes out at 0.0 Bohr magnetons per cell. Its symmetry is No. 10.

Unit cell a=4.1703 b=7.2322 c=7.2657 alpha=109.17 beta=90.00 gamma=90.00
Positions (direct):
La: 0.5000 0.0000 0.5000
La: 0.0000 0.5000 0.5000
Sm: 0.5000 0.5000 0.0000
Hf: 0.0000 0.0000 0.0000
As: 0.5000 0.2292 0.2242
As: 0.5000 0.7708 0.7758
As: 0.0000 0.2425 0.7679
As: 0.0000 0.7575 0.2321

[11]
Crystalline LaHfTl2As at its relaxed geometry, computed with PBE.

The calculation puts the formation energy at 0.26 eV per atom. The volume comes out at 154.15 Å³ per cell. The size of the total moment comes out at 0.0 Bohr magnetons per cell. Its symmetry is No. 123.

Unit cell a=5.5132 b=5.0714 c=5.5132 alpha=90.00 beta=90.00 gamma=90.00
Positions (direct):
Tl: 0.0000 0.0000 0.5000
Tl: 0.5000 0.0000 0.0000
Hf: 0.0000 0.5000 0.0000
As: 0.0000 0.0000 0.0000
La: 0.5000 0.5000 0.5000

[12]
Crystalline La2TmHfAs4 at its relaxed geometry, computed with PBE.

The calculation puts the formation energy at -1.41 eV per atom. The volume comes out at 201.32 Å³ per cell. The size of the total moment comes out at 0.0 Bohr magnetons per cell. Its symmetry is No. 10.

Unit cell a=4.1310 b=7.1610 c=7.2066 alpha=109.21 beta=90.00 gamma=90.00
Positions (direct):
La: 0.5000 0.0000 0.5000
La: 0.0000 0.5000 0.5000
Tm: 0.5000 0.5000 0.0000
Hf: 0.0000 0.0000 0.0000
As: 0.5000 0.2332 0.2217
As: 0.5000 0.7668 0.7783
As: 0.0000 0.2496 0.7739
As: 0.0000 0.7504 0.2261

Q: Look up the size of the total moment of the twelfth one.
A: 0.0 Bohr magnetons per cell

Q: Which formula does entry 3 have?
A: La2PuHfAs4